Entry from Alexandria via LeMat-Bulk: an optimized crystal structure of SrErZn (PBE).

a = 3.717 Å, b = 3.717 Å, c = 13.263 Å
α = 90.00°, β = 90.00°, γ = 90.00°
Space group I4mm (No. 107)
Inequivalent atoms, fractional coordinates:
Sr: 0.000 0.000 0.000
Er: 0.000 0.000 0.273
Zn: 0.000 0.000 0.665

**Distance to the lowest polymorph of the same formula**: 0.0126 eV per atom
**ΔH_f (0 K)**: -0.104 eV/atom
**Final energy**: -15.7 eV per cell